[1]
{"formula": "Os3RhW", "functional": "PBE-GGA", "state": "optimized geometry", "de_polymorph_ev_per_fu": 4.78, "e_form_ev_per_atom": 2.43, "dft_energy_ev_per_atom": -8.3683, "dos_at_fermi_per_ev_cell": 8.878, "lattice_angstrom": [[4.671, 0.000, 0.000], [0.000, 4.671, 0.000], [0.000, 0.000, 4.671]], "species": ["Rh", "Os", "Os", "Os", "W"], "fractional_positions": [[0.500, 0.500, 0.500], [0.000, 0.500, 0.000], [0.000, 0.000, 0.500], [0.500, 0.000, 0.000], [0.000, 0.000, 0.000]]}

---

[2]
{"formula": "GaSn2TeH", "functional": "PBE-GGA", "state": "optimized geometry", "dft_energy_ev_per_atom": -3.4105, "dos_at_fermi_per_ev_cell": 1.026, "lattice_angstrom": [[5.525, 0.000, 0.000], [0.000, 5.525, 0.000], [0.000, 0.000, 3.741]], "species": ["H", "Te", "Sn", "Sn", "Ga"], "fractional_positions": [[0.000, 0.000, 0.500], [0.500, 0.500, 0.500], [0.000, 0.500, 0.000], [0.500, 0.000, 0.000], [0.000, 0.000, 0.000]]}

---

[3]
{"formula": "VGaTe2", "functional": "PBE-GGA", "state": "optimized geometry", "e_form_raw_kj_per_mol_fu": 151, "dft_energy_ev_per_atom": -4.2166, "dos_at_fermi_per_ev_cell": 3.562, "lattice_angstrom": [[-7.921, 3.757, 0.947], [-6.577, 3.460, 4.746], [-5.393, 6.544, 2.419]], "species": ["Te", "Te", "Ga", "V"], "fractional_positions": [[0.896, 0.896, 0.896], [0.104, 0.104, 0.104], [0.500, 0.500, 0.500], [0.000, 0.000, 0.000]]}